The following is a PBE calculation of an optimized crystal structure of Be3Tc, from Alexandria.

Summary:
ΔH_f (0 K): -0.0415 eV per atom
symmetry: Fm-3m (225)
ρ: 5.34 g/cm³

CIF file:
```
data_Be3Tc
_chemical_formula_sum 'Be12 Tc4'
_cell_length_a 5.378
_cell_length_b 5.378
_cell_length_c 5.378
_cell_angle_alpha 90.00
_cell_angle_beta 90.00
_cell_angle_gamma 90.00
_space_group_name_H-M_alt 'P 1'
_space_group_IT_number 1
loop_
_space_group_symop_operation_xyz
'x,y,z'
loop_
_atom_site_label
_atom_site_type_symbol
_atom_site_fract_x
_atom_site_fract_y
_atom_site_fract_z
Be1 Be 0.000 0.000 0.000
Be2 Be 0.000 0.500 0.500
Be3 Be 0.250 0.250 0.250
Be4 Be 0.250 0.250 0.750
Be5 Be 0.250 0.750 0.250
Be6 Be 0.250 0.750 0.750
Be7 Be 0.500 0.000 0.500
Be8 Be 0.500 0.500 0.000
Be9 Be 0.750 0.250 0.250
Be10 Be 0.750 0.250 0.750
Be11 Be 0.750 0.750 0.250
Be12 Be 0.750 0.750 0.750
Tc1 Tc 0.000 0.000 0.500
Tc2 Tc 0.000 0.500 0.000
Tc3 Tc 0.500 0.000 0.000
Tc4 Tc 0.500 0.500 0.500
```